Entry 1:
First-principles (PBE) data for an optimized crystal structure of CuTc2P, as listed in the Alexandria database.

Geometry as POSCAR:
```
CuTc2P
1.0
1.4627 -2.2878 0.0000
1.4627 2.2878 0.0000
0.0000 0.0000 8.3829
Cu Tc P
1 2 1
direct
0.0000 0.0000 0.0000 Cu
0.0000 0.0000 0.5302 Tc
0.5000 0.5000 0.2661 Tc
0.5000 0.5000 0.7595 P
```

Properties
As for the volume: 14.03 Å³ per atom. The space group is Cmm2, No. 35. As for the density of states at the Fermi level: 3.52 states/eV/f.u. For the energy of formation from the pure elements, the calculation gives 1.2 eV per formula unit. For the energy, the calculation gives -28.99 eV per cell.

***

Entry 2:
First-principles (PBE) data for an optimized crystal structure of Cu2TcP, as listed in the Alexandria database.

Geometry as POSCAR:
```
Cu2TcP
1.0
3.5348 0.0000 0.0000
0.0000 3.5348 0.0000
0.0000 0.0000 4.0548
Cu Tc P
2 1 1
direct
0.0000 0.5000 0.0000 Cu
0.5000 0.0000 0.0000 Cu
0.0000 0.0000 0.5000 Tc
0.5000 0.5000 0.5000 P
```

Properties
As for the volume: 12.67 Å³ per atom. The space group is P4/mmm, No. 123. As for the density of states at the Fermi level: 2.99 states/eV/f.u. For the energy of formation from the pure elements, the calculation gives 0.4 eV per formula unit. For the energy, the calculation gives -23.55 eV per cell.

***

Entry 3:
First-principles (PBE) data for an optimized crystal structure of CuTc3P, as listed in the Alexandria database.

Geometry as POSCAR:
```
CuTc3P
1.0
4.4566 0.0000 0.0000
0.0000 4.4566 0.0000
0.0000 0.0000 4.4566
Cu Tc P
1 3 1
direct
0.0000 0.0000 0.0000 Cu
0.0000 0.0000 0.5000 Tc
0.0000 0.5000 0.0000 Tc
0.5000 0.0000 0.0000 Tc
0.5000 0.5000 0.5000 P
```

Properties
As for the volume: 17.70 Å³ per atom. The space group is Pm-3m, No. 221. The value obtained for the relative energy among the computed polymorphs is 1160.6 meV per atom. As for the density of states at the Fermi level: 6.60 states/eV/f.u. For the energy of formation from the pure elements, the calculation gives 9.2 eV per formula unit. For the energy, the calculation gives -31.43 eV per cell.

***

Please write out number 2 again, unchanged.
First-principles (PBE) data for an optimized crystal structure of Cu2TcP, as listed in the Alexandria database.

Geometry as POSCAR:
```
Cu2TcP
1.0
3.5348 0.0000 0.0000
0.0000 3.5348 0.0000
0.0000 0.0000 4.0548
Cu Tc P
2 1 1
direct
0.0000 0.5000 0.0000 Cu
0.5000 0.0000 0.0000 Cu
0.0000 0.0000 0.5000 Tc
0.5000 0.5000 0.5000 P
```

Properties
As for the volume: 12.67 Å³ per atom. The space group is P4/mmm, No. 123. As for the density of states at the Fermi level: 2.99 states/eV/f.u. For the energy of formation from the pure elements, the calculation gives 0.4 eV per formula unit. For the energy, the calculation gives -23.55 eV per cell.